A | Compound: Cs3HgBi
Source: the Alexandria database
Functional: PBE
Structure: relaxed

a b c (Å): 7.6409 7.6409 7.6409
angles (deg): 90.00 90.00 90.00
With the nearest neighbours (Å) after each atom.
Sites, in units of the cell vectors:
Cs  0.0000  0.0000  0.5000  2 Bi 3.82
Cs  0.0000  0.5000  0.0000  2 Bi 3.82
Cs  0.5000  0.0000  0.0000  2 Bi 3.82
Hg  0.5000  0.5000  0.5000  12 Cs 5.40
Bi  0.0000  0.0000  0.0000  6 Cs 3.82

Calculated values
Space-group type: Pm-3m

B | Compound: Cs3HgBi
Source: the Alexandria database
Functional: PBE
Structure: relaxed

a b c (Å): 8.7159 10.2183 12.6214
angles (deg): 90.00 91.43 90.00
With the nearest neighbours (Å) after each atom.
Sites, in units of the cell vectors:
Cs  0.1777  0.1784  0.3867  3 Bi 3.97-4.13, 3 Cs 4.17-4.21, 1 Hg 4.20
Cs  0.1777  0.3216  0.8867  3 Bi 3.97-4.13, 3 Cs 4.17-4.21, 1 Hg 4.20
Cs  0.2186  0.5237  0.6012  2 Hg 3.88-4.14, 3 Bi 4.06-4.22, 1 Cs 4.18
Cs  0.2186  0.9763  0.1012  2 Hg 3.88-4.14, 3 Bi 4.06-4.22, 1 Cs 4.18
Cs  0.2723  0.5358  0.1614  3 Hg 3.96-4.11, 3 Bi 4.00-4.35, 2 Cs 4.17-4.21
Cs  0.2723  0.9642  0.6614  3 Hg 3.96-4.11, 3 Bi 4.00-4.35, 2 Cs 4.17-4.21
Cs  0.7277  0.0358  0.3386  3 Hg 3.96-4.11, 3 Bi 4.00-4.35, 2 Cs 4.17-4.21
Cs  0.7277  0.4642  0.8386  3 Hg 3.96-4.11, 3 Bi 4.00-4.35, 2 Cs 4.17-4.21
Cs  0.7814  0.0237  0.8988  2 Hg 3.88-4.14, 3 Bi 4.06-4.22, 1 Cs 4.18
Cs  0.7814  0.4763  0.3988  2 Hg 3.88-4.14, 3 Bi 4.06-4.22, 1 Cs 4.18
Cs  0.8223  0.6784  0.1133  3 Bi 3.97-4.13, 3 Cs 4.17-4.21, 1 Hg 4.20
Cs  0.8223  0.8216  0.6133  3 Bi 3.97-4.13, 3 Cs 4.17-4.21, 1 Hg 4.20
Hg  0.4376  0.7458  0.9133  1 Bi 3.02
Hg  0.4376  0.7542  0.4133  1 Bi 3.02
Hg  0.5624  0.2458  0.5867  1 Bi 3.02
Hg  0.5624  0.2542  0.0867  1 Bi 3.02
Bi  0.0977  0.7134  0.8693  1 Hg 3.02
Bi  0.0977  0.7866  0.3693  1 Hg 3.02
Bi  0.9023  0.2134  0.6307  1 Hg 3.02
Bi  0.9023  0.2866  0.1307  1 Hg 3.02

Calculated values
Space-group type: P2_1/c

B ends up most stable, edging out the next structure by 0.186 eV/atom.

A | Compound: Cs2Hg3Bi
Source: the Alexandria database
Functional: PBE
Structure: relaxed

a b c (Å): 10.6915 10.6852 7.5558
angles (deg): 69.35 69.26 41.40
With the nearest neighbours (Å) after each atom.
Sites, in units of the cell vectors:
Cs  0.2337  0.7663  0.2337  10 Hg 3.99-4.18, 2 Bi 4.15
Cs  0.2500  0.2500  0.2500  8 Hg 4.06-4.08, 4 Bi 4.11
Cs  0.7500  0.7500  0.7500  8 Hg 4.06-4.08, 4 Bi 4.11
Cs  0.7663  0.2337  0.7663  10 Hg 3.99-4.18, 2 Bi 4.15
Hg  0.1691  0.6640  0.8309  1 Bi 3.02, 2 Hg 3.09-3.13
Hg  0.1699  0.1699  0.8301  1 Bi 3.09, 2 Hg 3.13
Hg  0.3360  0.8309  0.6640  1 Bi 3.02, 2 Hg 3.09-3.13
Hg  0.6640  0.1691  0.3360  1 Bi 3.02, 2 Hg 3.09-3.13
Hg  0.8301  0.8301  0.1699  1 Bi 3.09, 2 Hg 3.13
Hg  0.8309  0.3360  0.1691  1 Bi 3.02, 2 Hg 3.09-3.13
Bi  0.3369  0.3369  0.6631  3 Hg 3.02-3.09
Bi  0.6631  0.6631  0.3369  3 Hg 3.02-3.09

Calculated values
Space-group type: Fmmm

B | Compound: Cs2Hg3Bi
Source: the Alexandria database
Functional: PBE
Structure: relaxed

a b c (Å): 5.1703 5.6291 9.2276
angles (deg): 90.00 90.00 90.00
With the nearest neighbours (Å) after each atom.
Sites, in units of the cell vectors:
Cs  0.0000  0.0000  0.0000  4 Bi 4.10, 8 Hg 4.11-4.25
Cs  0.5000  0.0000  0.4845  10 Hg 4.10-4.28, 2 Bi 4.10
Hg  0.0000  0.5000  0.3244  2 Bi 2.99, 1 Hg 3.05
Hg  0.0000  0.5000  0.6547  3 Hg 3.05-3.07
Hg  0.5000  0.5000  0.8341  1 Bi 3.02, 2 Hg 3.07
Bi  0.5000  0.5000  0.1618  3 Hg 2.99-3.02

Calculated values
Space-group type: Pmm2

A ends up most stable, edging out the next structure by 0.009 eV/atom.

A | Compound: CsHg6Bi
Source: the Alexandria database
Functional: PBE
Structure: relaxed

a b c (Å): 5.5588 7.0671 8.0704
angles (deg): 115.93 105.38 90.14
With the nearest neighbours (Å) after each atom.
Sites, in units of the cell vectors:
Cs  0.0000  0.0000  0.0000  12 Hg 3.92-4.29
Hg  0.1037  0.6223  0.2470  5 Hg 3.10-3.43, 2 Bi 3.23-3.30
Hg  0.3159  0.0426  0.6249  5 Hg 3.11-3.45, 1 Bi 3.23
Hg  0.3174  0.5845  0.6263  5 Hg 3.10-3.47, 1 Bi 3.23
Hg  0.6826  0.4155  0.3737  5 Hg 3.10-3.47, 1 Bi 3.23
Hg  0.6841  0.9574  0.3751  5 Hg 3.11-3.45, 1 Bi 3.23
Hg  0.8963  0.3777  0.7530  5 Hg 3.10-3.43, 2 Bi 3.23-3.30
Bi  0.5000  0.5000  0.0000  8 Hg 3.23-3.30

Calculated values
Space-group type: P-1

B | Compound: CsHg6Bi
Source: the Alexandria database
Functional: PBE
Structure: relaxed

a b c (Å): 5.5165 5.5165 9.2054
angles (deg): 90.00 90.00 90.00
With the nearest neighbours (Å) after each atom.
Sites, in units of the cell vectors:
Cs  0.0000  0.0000  0.0000  16 Hg 4.04-4.20
Hg  0.0000  0.5000  0.3202  3 Hg 3.09-3.31, 2 Bi 3.22
Hg  0.0000  0.5000  0.6798  3 Hg 3.09-3.31, 2 Bi 3.22
Hg  0.5000  0.0000  0.3202  3 Hg 3.09-3.31, 2 Bi 3.22
Hg  0.5000  0.0000  0.6798  3 Hg 3.09-3.31, 2 Bi 3.22
Hg  0.5000  0.5000  0.1695  5 Hg 3.09-3.12
Hg  0.5000  0.5000  0.8305  5 Hg 3.09-3.12
Bi  0.0000  0.0000  0.5000  8 Hg 3.22

Calculated values
Space-group type: P4/mmm

B ends up most stable, edging out the next structure by 0.012 eV/atom.

A | Compound: CsHg3Bi3
Source: the Alexandria database
Functional: PBE
Structure: relaxed

a b c (Å): 10.4724 10.4724 5.4906
angles (deg): 90.00 90.00 120.00
With the nearest neighbours (Å) after each atom.
Sites, in units of the cell vectors:
Cs  0.3333  0.6667  0.2500  9 Hg 3.72-3.88
Cs  0.6667  0.3333  0.7500  9 Hg 3.72-3.88
Hg  0.0574  0.4201  0.7500  4 Bi 3.50-3.63, 2 Hg 3.71, 3 Cs 3.72-3.88
Hg  0.3626  0.9426  0.7500  4 Bi 3.50-3.63, 2 Hg 3.71, 3 Cs 3.72-3.88
Hg  0.4201  0.3626  0.2500  4 Bi 3.50-3.63, 2 Hg 3.71, 3 Cs 3.72-3.88
Hg  0.5799  0.6374  0.7500  4 Bi 3.50-3.63, 2 Hg 3.71, 3 Cs 3.72-3.88
Hg  0.6374  0.0574  0.2500  4 Bi 3.50-3.63, 2 Hg 3.71, 3 Cs 3.72-3.88
Hg  0.9426  0.5799  0.2500  4 Bi 3.50-3.63, 2 Hg 3.71, 3 Cs 3.72-3.88
Bi  0.0221  0.1976  0.2500  6 Bi 3.38-3.40, 4 Hg 3.50-3.63
Bi  0.1755  0.9779  0.2500  6 Bi 3.38-3.40, 4 Hg 3.50-3.63
Bi  0.1976  0.1755  0.7500  6 Bi 3.38-3.40, 4 Hg 3.50-3.63
Bi  0.8024  0.8245  0.2500  6 Bi 3.38-3.40, 4 Hg 3.50-3.63
Bi  0.8245  0.0221  0.7500  6 Bi 3.38-3.40, 4 Hg 3.50-3.63
Bi  0.9779  0.8024  0.7500  6 Bi 3.38-3.40, 4 Hg 3.50-3.63

Calculated values
Space-group type: P6_3/m

B | Compound: CsHg3Bi3
Source: the Alexandria database
Functional: PBE
Structure: relaxed

a b c (Å): 8.3524 8.3524 8.3524
angles (deg): 90.00 90.00 90.00
With the nearest neighbours (Å) after each atom.
Sites, in units of the cell vectors:
Cs  0.0000  0.0000  0.0000  12 Hg 4.67, 12 Bi 4.67
Cs  0.5000  0.5000  0.5000  12 Hg 4.67, 12 Bi 4.67
Hg  0.0000  0.2500  0.5000  4 Bi 2.95
Hg  0.0000  0.7500  0.5000  4 Bi 2.95
Hg  0.2500  0.5000  0.0000  4 Bi 2.95
Hg  0.5000  0.0000  0.2500  4 Bi 2.95
Hg  0.5000  0.0000  0.7500  4 Bi 2.95
Hg  0.7500  0.5000  0.0000  4 Bi 2.95
Bi  0.0000  0.5000  0.2500  4 Hg 2.95
Bi  0.0000  0.5000  0.7500  4 Hg 2.95
Bi  0.2500  0.0000  0.5000  4 Hg 2.95
Bi  0.5000  0.2500  0.0000  4 Hg 2.95
Bi  0.5000  0.7500  0.0000  4 Hg 2.95
Bi  0.7500  0.0000  0.5000  4 Hg 2.95

Calculated values
Space-group type: Pm-3n

A ends up most stable, edging out the next structure by 0.053 eV/atom.